1.
Entry from Alexandria via LeMat-Bulk: a relaxed structure of PdC3S (GGA-PBEsol).

Calculated values
SG: Pm-3m
Crystal system: cubic
Calculated volume in Å³/f.u.: 46
Fermi-level density of states in states/eV per cell: 1.8
Energy relative to the elements, uncorrected in eV per formula unit: 11.34

abc: 3.579 3.579 3.579
angles: 90.00 90.00 90.00
Atoms (fractional coordinates):
1 S 0.000 0.000 0.000
2 Pd 0.500 0.500 0.500
3 C 0.000 0.000 0.500
4 C 0.500 0.000 0.000
5 C 0.000 0.500 0.000



2.
Entry from Alexandria via LeMat-Bulk: a relaxed structure of KFeSe2 (GGA-PBEsol).

Calculated values
SG: I-4m2
Crystal system: tetragonal
Calculated volume in Å³/f.u.: 84
Fermi-level density of states in states/eV per cell: 5.7
Energy relative to the elements, uncorrected in eV per formula unit: 1.17

abc: 4.080 4.080 5.839
angles: 110.45 110.45 90.00
Last column: magnetic moment on the atom in μB.
Atoms (fractional coordinates):
1 Fe 0.500 0.500 0.000  3.35
2 Se 0.000 0.000 0.000  0.10
3 Se 0.750 0.250 0.500  0.16
4 K 0.250 0.750 0.500  0.01



3.
Entry from Alexandria via LeMat-Bulk: a relaxed structure of Co2Pt (GGA-PBEsol).

Calculated values
SG: P6_3/mmc
Crystal system: hexagonal
Calculated volume in Å³/f.u.: 36
Fermi-level density of states in states/eV per cell: 27.1
ΔH_f (0 K) in meV per atom: 0

abc: 4.662 4.662 15.271
angles: 90.00 90.00 120.00
Last column: magnetic moment on the atom in μB.
Atoms (fractional coordinates):
1 Co 0.500 0.000 0.000  1.78
2 Co 0.333 0.667 0.628  1.78
3 Pt 0.000 0.000 0.908  0.32
4 Co 0.500 0.000 0.500  1.78
5 Co 0.667 0.333 0.128  1.78
6 Co 0.162 0.838 0.750  1.76
7 Co 0.838 0.162 0.250  1.76
8 Pt 0.000 0.000 0.592  0.32
9 Pt 0.333 0.667 0.344  0.34
10 Pt 0.000 0.000 0.408  0.32
11 Co 0.000 0.500 0.000  1.78
12 Pt 0.000 0.000 0.092  0.32
13 Co 0.000 0.500 0.500  1.78
14 Co 0.838 0.676 0.250  1.76
15 Pt 0.667 0.333 0.656  0.34
16 Co 0.333 0.667 0.872  1.78
17 Co 0.500 0.500 0.500  1.78
18 Co 0.667 0.333 0.372  1.78
19 Co 0.676 0.838 0.750  1.76
20 Co 0.500 0.500 0.000  1.78
21 Pt 0.667 0.333 0.844  0.34
22 Co 0.162 0.324 0.750  1.76
23 Pt 0.333 0.667 0.156  0.34
24 Co 0.324 0.162 0.250  1.76



4.
Entry from Alexandria via LeMat-Bulk: a relaxed structure of LiNi2P (GGA-PBEsol).

Calculated values
SG: C2/m
Crystal system: monoclinic
Calculated volume in Å³/f.u.: 42
Fermi-level density of states in states/eV per cell: 2.0
ΔH_f (0 K) in meV per atom: -249

abc: 2.513 4.516 4.516
angles: 111.79 104.98 104.98
Atoms (fractional coordinates):
1 Li 0.500 0.500 0.500
2 P 0.500 0.000 0.000
3 Ni 0.000 0.000 0.500
4 Ni 0.000 0.500 0.000